# CsPt4Br12, optimized geometry, DFT GGA-PBE
data_CsPt4Br12
_chemical_formula_sum 'Cs2 Pt8 Br24'
_symmetry_space_group_name_H-M 'I m -3'
_symmetry_Int_Tables_number 204
_symmetry_space_group_name_Hall '-I 2 2 3'
_cell_length_a 9.913
_cell_length_b 9.913
_cell_length_c 9.913
_cell_angle_alpha 90.00
_cell_angle_beta 90.00
_cell_angle_gamma 90.00
loop_
_atom_site_label
_atom_site_type_symbol
_atom_site_fract_x
_atom_site_fract_y
_atom_site_fract_z
Cs1 Cs 0.000 0.000 0.000
Pt1 Pt 0.250 0.250 0.250
Br1 Br 0.000 0.309 0.194
# uncorrected formation energy = -28.8 kJ per mole of atoms



# CsPt3Br, optimized geometry, DFT GGA-PBE
data_CsPt3Br
_chemical_formula_sum 'Cs1 Pt3 Br1'
_symmetry_space_group_name_H-M 'P m -3 m'
_symmetry_Int_Tables_number 221
_symmetry_space_group_name_Hall '-P 4 2 3'
_cell_length_a 4.997
_cell_length_b 4.997
_cell_length_c 4.997
_cell_angle_alpha 90.00
_cell_angle_beta 90.00
_cell_angle_gamma 90.00
loop_
_atom_site_label
_atom_site_type_symbol
_atom_site_fract_x
_atom_site_fract_y
_atom_site_fract_z
Cs1 Cs 0.000 0.000 0.000
Pt1 Pt 0.000 0.500 0.500
Br1 Br 0.500 0.500 0.500
# offset from the most stable computed form = 0.00 eV per formula unit
# uncorrected formation energy = 78.2 kJ per mole of atoms



# Cs3Pt5Br12, optimized geometry, DFT GGA-PBE
data_Cs3Pt5Br12
_chemical_formula_sum 'Cs24 Pt40 Br96'
_symmetry_space_group_name_H-M 'I a -3 d'
_symmetry_Int_Tables_number 230
_symmetry_space_group_name_Hall '-I 4bd 2c 3'
_cell_length_a 17.517
_cell_length_b 17.517
_cell_length_c 17.517
_cell_angle_alpha 90.00
_cell_angle_beta 90.00
_cell_angle_gamma 90.00
loop_
_atom_site_label
_atom_site_type_symbol
_atom_site_fract_x
_atom_site_fract_y
_atom_site_fract_z
Cs1 Cs 0.000 0.250 0.125
Pt1 Pt 0.000 0.000 0.000
Pt2 Pt 0.000 0.250 0.375
Br1 Br 0.040 0.042 0.638
# uncorrected formation energy = -42.6 kJ per mole of atoms



# CsPtBr2, optimized geometry, DFT GGA-PBE
data_CsPtBr2
_chemical_formula_sum 'Cs4 Pt4 Br8'
_symmetry_space_group_name_H-M 'I -4 2 d'
_symmetry_Int_Tables_number 122
_symmetry_space_group_name_Hall 'I -4 2bw'
_cell_length_a 6.504
_cell_length_b 6.504
_cell_length_c 15.228
_cell_angle_alpha 90.00
_cell_angle_beta 90.00
_cell_angle_gamma 90.00
loop_
_atom_site_label
_atom_site_type_symbol
_atom_site_fract_x
_atom_site_fract_y
_atom_site_fract_z
Cs1 Cs 0.000 0.000 0.000
Pt1 Pt 0.000 0.000 0.500
Br1 Br 0.099 0.250 0.625
# offset from the most stable computed form = 0.07 eV per formula unit
# uncorrected formation energy = -50.2 kJ per mole of atoms



# CsPtBr, optimized geometry, DFT GGA-PBE
data_CsPtBr
_chemical_formula_sum 'Cs4 Pt4 Br4'
_symmetry_space_group_name_H-M 'C m c m'
_symmetry_Int_Tables_number 63
_symmetry_space_group_name_Hall '-C 2c 2'
_cell_length_a 4.383
_cell_length_b 8.138
_cell_length_c 10.806
_cell_angle_alpha 90.00
_cell_angle_beta 90.00
_cell_angle_gamma 90.00
loop_
_atom_site_label
_atom_site_type_symbol
_atom_site_fract_x
_atom_site_fract_y
_atom_site_fract_z
Cs1 Cs 0.000 0.000 0.000
Pt1 Pt 0.000 0.354 0.250
Br1 Br 0.000 0.339 0.750
# offset from the most stable computed form = 1.03 eV per formula unit
# uncorrected formation energy = -32.5 kJ per mole of atoms



# Cs3Pt2Br9, optimized geometry, DFT GGA-PBE
data_Cs3Pt2Br9
_chemical_formula_sum 'Cs6 Pt4 Br18'
_symmetry_space_group_name_H-M 'P 63/m m c'
_symmetry_Int_Tables_number 194
_symmetry_space_group_name_Hall '-P 6c 2c'
_cell_length_a 7.6693
_cell_length_b 7.6693
_cell_length_c 19.7278
_cell_angle_alpha 90.00
_cell_angle_beta 90.00
_cell_angle_gamma 120.00
loop_
_atom_site_label
_atom_site_type_symbol
_atom_site_fract_x
_atom_site_fract_y
_atom_site_fract_z
Cs1 Cs 0.0000 0.0000 0.2500
Cs2 Cs 0.3333 0.6667 0.0666
Pt1 Pt 0.3333 0.6667 0.6660
Br1 Br 0.0237 0.5118 0.7500
Br2 Br 0.1747 0.3494 0.5934
# uncorrected formation energy = -86.7 kJ per mole of atoms



# CsPtBr, optimized geometry, DFT GGA-PBE
data_CsPtBr
_chemical_formula_sum 'Cs4 Pt4 Br4'
_symmetry_space_group_name_H-M 'P n m a'
_symmetry_Int_Tables_number 62
_symmetry_space_group_name_Hall '-P 2ac 2n'
_cell_length_a 10.965
_cell_length_b 4.303
_cell_length_c 9.391
_cell_angle_alpha 90.00
_cell_angle_beta 90.00
_cell_angle_gamma 90.00
loop_
_atom_site_label
_atom_site_type_symbol
_atom_site_fract_x
_atom_site_fract_y
_atom_site_fract_z
Cs1 Cs 0.208 0.250 0.187
Pt1 Pt 0.012 0.250 0.565
Br1 Br 0.057 0.250 0.830
# offset from the most stable computed form = 0.20 eV per formula unit
# uncorrected formation energy = -59.3 kJ per mole of atoms



# CsPtBr6, optimized geometry, DFT GGA-PBE
data_CsPtBr6
_chemical_formula_sum 'Cs2 Pt2 Br12'
_symmetry_space_group_name_H-M 'C 1 2/m 1'
_symmetry_Int_Tables_number 12
_symmetry_space_group_name_Hall '-C 2y'
_cell_length_a 11.765
_cell_length_b 7.027
_cell_length_c 9.052
_cell_angle_alpha 90.00
_cell_angle_beta 128.18
_cell_angle_gamma 90.00
loop_
_atom_site_label
_atom_site_type_symbol
_atom_site_fract_x
_atom_site_fract_y
_atom_site_fract_z
Cs1 Cs 0.000 0.000 0.000
Pt1 Pt 0.000 0.500 0.500
Br1 Br 0.135 0.252 0.752
Br2 Br 0.195 0.500 0.468
# offset from the most stable computed form = 0.00 eV per formula unit
# uncorrected formation energy = -55.6 kJ per mole of atoms



# Cs2PtBr, optimized geometry, DFT GGA-PBE
data_Cs2PtBr
_chemical_formula_sum 'Cs8 Pt4 Br4'
_symmetry_space_group_name_H-M 'I -4 2 d'
_symmetry_Int_Tables_number 122
_symmetry_space_group_name_Hall 'I -4 2bw'
_cell_length_a 7.289
_cell_length_b 7.289
_cell_length_c 16.700
_cell_angle_alpha 90.00
_cell_angle_beta 90.00
_cell_angle_gamma 90.00
loop_
_atom_site_label
_atom_site_type_symbol
_atom_site_fract_x
_atom_site_fract_y
_atom_site_fract_z
Cs1 Cs 0.194 0.250 0.125
Pt1 Pt 0.000 0.000 0.000
Br1 Br 0.000 0.000 0.500
# offset from the most stable computed form = 0.39 eV per formula unit
# uncorrected formation energy = -27.6 kJ per mole of atoms



# CsPtBr, optimized geometry, DFT GGA-PBE
data_CsPtBr
_chemical_formula_sum 'Cs2 Pt2 Br2'
_symmetry_space_group_name_H-M 'P -1'
_symmetry_Int_Tables_number 2
_symmetry_space_group_name_Hall '-P 1'
_cell_length_a 4.729
_cell_length_b 6.992
_cell_length_c 7.030
_cell_angle_alpha 96.12
_cell_angle_beta 107.30
_cell_angle_gamma 105.25
loop_
_atom_site_label
_atom_site_type_symbol
_atom_site_fract_x
_atom_site_fract_y
_atom_site_fract_z
Cs1 Cs 0.013 0.284 0.218
Pt1 Pt 0.267 0.847 0.352
Br1 Br 0.304 0.241 0.745
# offset from the most stable computed form = 0.63 eV per formula unit
# uncorrected formation energy = -45.3 kJ per mole of atoms



# CsPtBr6, optimized geometry, DFT GGA-PBE
data_CsPtBr6
_chemical_formula_sum 'Cs2 Pt2 Br12'
_symmetry_space_group_name_H-M 'C 1 2/m 1'
_symmetry_Int_Tables_number 12
_symmetry_space_group_name_Hall '-C 2y'
_cell_length_a 12.583
_cell_length_b 7.482
_cell_length_c 7.255
_cell_angle_alpha 90.00
_cell_angle_beta 119.79
_cell_angle_gamma 90.00
loop_
_atom_site_label
_atom_site_type_symbol
_atom_site_fract_x
_atom_site_fract_y
_atom_site_fract_z
Cs1 Cs 0.000 0.000 0.000
Pt1 Pt 0.000 0.500 0.500
Br1 Br 0.091 0.500 0.264
Br2 Br 0.150 0.264 0.724
# offset from the most stable computed form = 0.03 eV per formula unit
# uncorrected formation energy = -55.2 kJ per mole of atoms



# Cs2PtBr5, optimized geometry, DFT GGA-PBE
data_Cs2PtBr5
_chemical_formula_sum 'Cs4 Pt2 Br10'
_symmetry_space_group_name_H-M 'I 4 m m'
_symmetry_Int_Tables_number 107
_symmetry_space_group_name_Hall 'I 4 -2'
_cell_length_a 7.889
_cell_length_b 7.889
_cell_length_c 10.519
_cell_angle_alpha 90.00
_cell_angle_beta 90.00
_cell_angle_gamma 90.00
loop_
_atom_site_label
_atom_site_type_symbol
_atom_site_fract_x
_atom_site_fract_y
_atom_site_fract_z
Cs1 Cs 0.000 0.500 0.000
Pt1 Pt 0.000 0.000 0.234
Br1 Br 0.000 0.000 0.982
Br2 Br 0.223 0.223 0.252
# uncorrected formation energy = -100.1 kJ per mole of atoms